Record 1
Computed, not measured: crystalline MnBe2Rh3 at its relaxed geometry at the GGA-PBE level of DFT.

Unit cell a=2.8542 b=2.8542 c=8.6957 alpha=90.00 beta=90.00 gamma=90.00
Last column: nearest neighbours and their distance in Å.
Space group P4/mmm (No. 123)
Asymmetric unit:
Mn (0.0000, 0.0000, 0.0000) x1  8 Rh 2.59, 4 Mn 2.85
Be (0.0000, 0.0000, 0.3493) x2  8 Rh 2.41-2.47, 1 Be 2.62
Rh (0.5000, 0.5000, 0.1858) x2  4 Be 2.47, 4 Mn 2.59, 1 Rh 2.73
Rh (0.5000, 0.5000, 0.5000) x1  8 Be 2.41

Summary:
final energy = -6.90 eV/atom
formation energy from the elements = -0.457 eV/atom
calculated volume = 11.8 Å³/atom



Record 2
Computed, not measured: crystalline MnBe3Rh at its relaxed geometry at the GGA-PBE level of DFT.

Unit cell a=3.8466 b=3.8466 c=3.8466 alpha=90.00 beta=90.00 gamma=90.00
Last column: nearest neighbours and their distance in Å.
Space group Pm-3m (No. 221)
Asymmetric unit:
Mn (0.0000, 0.0000, 0.0000) x1  6 Be 1.92
Be (0.0000, 0.0000, 0.5000) x3  2 Mn 1.92
Rh (0.5000, 0.5000, 0.5000) x1  12 Be 2.72

Summary:
energy above the lowest structure with this stoichiometry = 59 meV per atom
final energy = -4.72 eV/atom
formation energy from the elements = 0.823 eV/atom
calculated volume = 11.4 Å³/atom



Record 3
Computed, not measured: crystalline Mn3BeRh4 at its relaxed geometry at the GGA-PBE level of DFT.

Unit cell a=2.9689 b=2.9689 c=11.9585 alpha=90.00 beta=90.00 gamma=90.00
Last column: nearest neighbours and their distance in Å.
Space group P4/mmm (No. 123)
Asymmetric unit:
Mn (0.0000, 0.0000, 0.0000) x1  8 Rh 2.61
Mn (0.0000, 0.0000, 0.2607) x2  8 Rh 2.60-2.62, 1 Be 2.86
Be (0.0000, 0.0000, 0.5000) x1  8 Rh 2.48
Rh (0.5000, 0.5000, 0.1298) x2  8 Mn 2.61-2.62
Rh (0.5000, 0.5000, 0.3894) x2  4 Be 2.48, 4 Mn 2.60, 1 Rh 2.65

Summary:
final energy = -7.85 eV/atom
formation energy from the elements = -0.269 eV/atom
calculated volume = 13.2 Å³/atom



Record 4
Computed, not measured: crystalline MnBeRh3 at its relaxed geometry at the GGA-PBE level of DFT.

Unit cell a=4.3980 b=4.3980 c=4.3980 alpha=90.00 beta=90.00 gamma=90.00
Last column: nearest neighbours and their distance in Å.
Space group Pm-3m (No. 221)
Asymmetric unit:
Mn (0.0000, 0.0000, 0.0000) x1  6 Rh 2.20
Be (0.5000, 0.5000, 0.5000) x1  12 Rh 3.11
Rh (0.0000, 0.0000, 0.5000) x3  2 Mn 2.20

Summary:
energy above the lowest structure with this stoichiometry = 684 meV per atom
final energy = -5.85 eV/atom
formation energy from the elements = 1.138 eV/atom
calculated volume = 17.0 Å³/atom